{"formula": "PmMn2PbO5", "functional": "PBE+U", "state": "optimized geometry", "crystal_system": "tetragonal", "m_tot_mub_per_atom": 1.0000, "dft_energy_ev_per_atom": -7.29, "mass_density_g_cm3": 7.216, "spacegroup": "P4/mmm", "lattice_angstrom": [[3.966, 0.000, 0.000], [0.000, 3.966, 0.000], [0.000, 0.000, 7.930]], "species": ["Pm", "Mn", "Mn", "Pb", "O", "O", "O", "O", "O"], "fractional_positions": [[0.000, 0.000, 0.000], [0.500, 0.500, 0.239], [0.500, 0.500, 0.761], [0.000, 0.000, 0.500], [0.000, 0.500, 0.186], [0.000, 0.500, 0.814], [0.500, 0.000, 0.186], [0.500, 0.000, 0.814], [0.500, 0.500, 0.500]]}